1.
CsAg3C: optimized geometry, PBE-GGA.

abc: 6.690 6.690 6.690
angles: 90.00 90.00 90.00
Fractional positions:
1 Cs 0.000 0.000 0.000
2 Ag 0.000 0.000 0.500
3 Ag 0.000 0.500 0.000
4 Ag 0.500 0.000 0.000
5 C 0.500 0.500 0.500

Calculated values
- Mass density: 2.6 Mg/m³
- Energy of formation: 2.54 eV/atom
- Electronic total energy: -5.945 eV/cell
- Symmetry: No. 221
- Energy above the most stable polymorph in this dataset: 1725 meV/atom

2.
TmPdPt3: optimized geometry, PBE-GGA.

abc: 6.535 6.535 5.217
angles: 90.00 90.00 120.00
Fractional positions:
1 Tm 0.333 0.667 0.250
2 Tm 0.667 0.333 0.750
3 Pd 0.000 0.000 0.000
4 Pd 0.000 0.000 0.500
5 Pt 0.201 0.402 0.750
6 Pt 0.201 0.799 0.750
7 Pt 0.402 0.201 0.250
8 Pt 0.598 0.799 0.750
9 Pt 0.799 0.201 0.250
10 Pt 0.799 0.598 0.250

Calculated values
- Mass density: 14.8 Mg/m³
- Energy of formation: -0.42 eV/atom
- Electronic total energy: -59.822 eV/cell
- Symmetry: No. 194
- Energy above the most stable polymorph in this dataset: 150 meV/atom

3.
NaEuGa2: optimized geometry, PBE-GGA.

abc: 5.144 5.144 5.144
angles: 60.00 60.00 60.00
Fractional positions:
1 Na 0.000 0.000 0.000
2 Eu 0.500 0.500 0.500
3 Ga 0.250 0.250 0.250
4 Ga 0.750 0.750 0.750

Calculated values
- Mass density: 5.4 Mg/m³
- Energy of formation: -0.24 eV/atom
- Electronic total energy: -18.595 eV/cell
- Symmetry: No. 225
- Energy above the most stable polymorph in this dataset: 0 meV/atom

4.
Dy3Zn8Pd: optimized geometry, PBE-GGA.

abc: 9.370 9.370 9.370
angles: 32.91 32.91 32.91
Fractional positions:
1 Dy 0.000 0.000 0.000
2 Dy 0.126 0.126 0.126
3 Dy 0.512 0.512 0.512
4 Zn 0.063 0.566 0.566
5 Zn 0.068 0.068 0.568
6 Zn 0.068 0.568 0.068
7 Zn 0.316 0.316 0.316
8 Zn 0.566 0.063 0.566
9 Zn 0.566 0.566 0.063
10 Zn 0.568 0.068 0.068
11 Zn 0.818 0.818 0.818
12 Pd 0.625 0.625 0.625

Calculated values
- Mass density: 8.6 Mg/m³
- Energy of formation: -0.37 eV/atom
- Electronic total energy: -33.592 eV/cell
- Symmetry: No. 160

5.
Ba2SrRe: optimized geometry, PBE-GGA.

abc: 5.796 5.796 5.796
angles: 60.00 60.00 60.00
Fractional positions:
1 Ba 0.250 0.250 0.250
2 Ba 0.750 0.750 0.750
3 Sr 0.000 0.000 0.000
4 Re 0.500 0.500 0.500

Calculated values
- Mass density: 6.6 Mg/m³
- Energy of formation: 1.03 eV/atom
- Electronic total energy: -13.837 eV/cell
- Symmetry: No. 225
- Energy above the most stable polymorph in this dataset: 195 meV/atom

6.
TaFe2Se: optimized geometry, PBE-GGA.

abc: 3.253 3.253 5.406
angles: 90.00 90.00 90.00
Fractional positions:
1 Ta 0.000 0.000 0.000
2 Fe 0.500 0.500 0.244
3 Fe 0.500 0.500 0.756
4 Se 0.000 0.000 0.500

Calculated values
- Mass density: 10.8 Mg/m³
- Electronic total energy: -32.145 eV/cell
- Symmetry: No. 123
- E_form (uncorrected): 0.029 eV/atom

7.
AcLaAg: optimized geometry, PBE-GGA.

abc: 8.872 8.872 8.872
angles: 156.62 156.62 33.31
Fractional positions:
1 Ac 0.000 0.000 0.000
2 La 0.796 0.796 0.000
3 Ag 0.618 0.618 0.000

Calculated values
- Mass density: 7.2 Mg/m³
- Energy of formation: 0.38 eV/atom
- Electronic total energy: -10.758 eV/cell
- Symmetry: No. 107
- Energy above the most stable polymorph in this dataset: 528 meV/atom

8.
Nd2GaPt2: optimized geometry, PBE-GGA.

abc: 5.907 5.907 10.835
angles: 115.50 115.50 42.60
Fractional positions:
1 Nd 0.002 0.002 0.334
2 Nd 0.186 0.186 0.109
3 Nd 0.814 0.814 0.891
4 Nd 0.998 0.998 0.666
5 Ga 0.285 0.285 0.646
6 Ga 0.715 0.715 0.354
7 Pt 0.353 0.353 0.432
8 Pt 0.471 0.471 0.117
9 Pt 0.529 0.529 0.883
10 Pt 0.647 0.647 0.568

Calculated values
- Mass density: 11.0 Mg/m³
- Energy of formation: -1.03 eV/atom
- Electronic total energy: -59.574 eV/cell
- Symmetry: No. 12

9.
Al2TeSe: optimized geometry, PBE-GGA.

abc: 8.026 8.026 8.026
angles: 152.37 152.37 39.48
Fractional positions:
1 Al 0.000 0.000 0.000
2 Al 0.750 0.250 0.500
3 Te 0.500 0.500 0.000
4 Se 0.250 0.750 0.500

Calculated values
- Mass density: 3.9 Mg/m³
- Electronic total energy: -14.131 eV/cell
- Symmetry: No. 119
- Energy above the most stable polymorph in this dataset: 345 meV/atom
- E_form (uncorrected): -0.005 eV/atom

10.
AlMoBr2: optimized geometry, PBE-GGA.

abc: 3.157 3.157 8.900
angles: 90.00 90.00 90.00
Fractional positions:
1 Al 0.000 0.000 0.000
2 Mo 0.000 0.000 0.500
3 Br 0.500 0.500 0.319
4 Br 0.500 0.500 0.681

Calculated values
- Mass density: 5.3 Mg/m³
- Electronic total energy: -15.792 eV/cell
- Symmetry: No. 123
- Energy above the most stable polymorph in this dataset: 741 meV/atom
- E_form (uncorrected): 0.532 eV/atom

11.
HoTh2NpP4: optimized geometry, PBE-GGA.

abc: 7.015 4.078 7.048
angles: 90.00 109.64 90.00
Fractional positions:
1 Ho 0.000 0.000 0.000
2 Th 0.500 0.000 0.500
3 Th 0.500 0.500 0.000
4 Np 0.000 0.500 0.500
5 P 0.238 0.000 0.745
6 P 0.240 0.500 0.248
7 P 0.760 0.500 0.752
8 P 0.762 0.000 0.255

Calculated values
- Mass density: 8.7 Mg/m³
- Energy of formation: -1.39 eV/atom
- Electronic total energy: -65.121 eV/cell
- Symmetry: No. 10

12.
VCrFe2Se: optimized geometry, PBE-GGA.

abc: 4.307 4.307 4.596
angles: 90.00 90.00 90.00
Fractional positions:
1 V 0.000 0.000 0.000
2 Cr 0.000 0.000 0.500
3 Fe 0.000 0.500 0.000
4 Fe 0.500 0.000 0.000
5 Se 0.500 0.500 0.500

Calculated values
- Mass density: 5.7 Mg/m³
- Electronic total energy: -33.653 eV/cell
- Symmetry: No. 123
- E_form (uncorrected): 1.100 eV/atom

13.
Ba2MgMn: optimized geometry, PBE-GGA.

abc: 3.954 3.954 9.613
angles: 90.00 90.00 90.00
Fractional positions:
1 Ba 0.000 0.000 0.000
2 Ba 0.500 0.500 0.385
3 Mg 0.000 0.000 0.643
4 Mn 0.500 0.500 0.759

Calculated values
- Mass density: 3.9 Mg/m³
- Energy of formation: 0.31 eV/atom
- Electronic total energy: -13.366 eV/cell
- Symmetry: No. 99

14.
La6Nd8Y: optimized geometry, PBE-GGA.

abc: 8.943 8.943 8.943
angles: 63.27 63.27 63.27
Fractional positions:
1 La 0.036 0.740 0.595
2 La 0.260 0.405 0.964
3 La 0.405 0.964 0.260
4 La 0.595 0.036 0.740
5 La 0.740 0.595 0.036
6 La 0.964 0.260 0.405
7 Nd 0.077 0.077 0.077
8 Nd 0.209 0.259 0.614
9 Nd 0.259 0.614 0.209
10 Nd 0.386 0.791 0.741
11 Nd 0.614 0.209 0.259
12 Nd 0.741 0.386 0.791
13 Nd 0.791 0.741 0.386
14 Nd 0.923 0.923 0.923
15 Y 0.500 0.500 0.500

Calculated values
- Mass density: 6.4 Mg/m³
- Energy of formation: 0.10 eV/atom
- Electronic total energy: -72.677 eV/cell
- Symmetry: No. 148